NdInAu3, relaxed, DFT PBE; space group = No. 11; mass density = 12.26 Mg/m³; energy = -3.99 eV per atom; formation enthalpy at 0 K = -2.62 eV per formula unit
1.0
-2.277 -2.735 -3.490
-0.109 -5.865 4.668
-6.677 0.381 0.322
Nd In Au
2 2 6
Direct
0.622 0.750 0.242
0.378 0.250 0.758
0.341 0.750 0.798
0.659 0.250 0.202
0.170 0.990 0.153
0.830 0.010 0.847
0.170 0.510 0.153
0.830 0.490 0.847
0.972 0.750 0.526
0.028 0.250 0.474


PuTlPb, relaxed, DFT PBE; space group = No. 63; mass density = 12.73 Mg/m³; energy = -6.78 eV per atom; formation enthalpy at 0 K = 0.05 eV per formula unit
1.0
-1.923 -4.701 2.085
0.101 0.767 -5.413
6.054 -2.590 -0.254
Pu Tl Pb
2 2 2
Direct
0.000 0.500 0.000
0.000 0.500 0.500
0.667 0.834 0.250
0.333 0.166 0.750
0.666 0.833 0.750
0.334 0.167 0.250


TlRu2O6, relaxed, DFT PBE; space group = No. 162; mass density = 6.22 Mg/m³; energy = -6.47 eV per atom; ΔE_f (raw) = -845 meV/atom
1.0
5.445 0.000 0.000
0.000 4.619 -2.667
0.000 0.000 5.334
Tl Ru O
1 2 6
Direct
0.000 0.000 0.000
0.500 0.667 0.333
0.500 0.333 0.667
0.691 0.608 0.608
0.309 0.608 0.000
0.309 0.000 0.608
0.691 0.392 0.000
0.309 0.392 0.392
0.691 0.000 0.392


Which formula does entry 3 have?
TlRu2O6


What is the formula in the third record?
TlRu2O6